Computed, not measured: Nd4GaTeN after structural relaxation at the PBE-GGA level of DFT.

## Properties
ΔE_f (raw) in eV/atom: -0.890
Crystal system: orthorhombic
Total energy in eV per cell: -159.2

```
data_Nd4GaTeN
_cell_length_a 6.8397
_cell_length_b 16.1095
_cell_length_c 6.8928
_cell_angle_alpha 90.00
_cell_angle_beta 90.00
_cell_angle_gamma 90.00
_space_group_name_H-M_alt 'C m c m'
_space_group_IT_number 63
_space_group_name_Hall '-C 2c 2'
loop_
_atom_site_label
_atom_site_fract_x
_atom_site_fract_y
_atom_site_fract_z
_atom_site_occupancy
Nd1 0.0000 0.0798 0.2500 1
Nd2 0.0000 0.4104 0.2500 1
Nd3 0.2500 0.2500 0.0000 1
Ga1 0.0000 0.1152 0.7500 1
Te1 0.0000 0.3918 0.7500 1
N1 0.0000 0.2380 0.2500 1
```


Computed, not measured: Sc2RhI after structural relaxation at the PBE-GGA level of DFT.

## Properties
ΔE_f (raw) in eV/atom: -0.320
Crystal system: tetragonal
Total energy in eV per cell: -91.4

```
data_Sc2RhI
_cell_length_a 7.2955
_cell_length_b 7.2955
_cell_length_c 7.4795
_cell_angle_alpha 90.00
_cell_angle_beta 90.00
_cell_angle_gamma 90.00
_space_group_name_H-M_alt 'I -4 2 d'
_space_group_IT_number 122
_space_group_name_Hall 'I -4 2bw'
loop_
_atom_site_label
_atom_site_fract_x
_atom_site_fract_y
_atom_site_fract_z
_atom_site_occupancy
Sc1 0.2006 0.2500 0.1250 1
Rh1 0.0000 0.0000 0.0000 1
I1 0.0000 0.0000 0.5000 1
```


no.,total magnetic moment (μB per atom)
1,0.0000
2,0.0000